# 1
An optimized crystal structure of Ac4NiHg2Rh. Source: the Alexandria database, functional PBE-GGA.

Properties
Total magnetization (μB/f.u.): 0.00
Calculated total energy (eV/atom): -4.246

Cell and atoms, written as extended XYZ:
```
8
Lattice="-0.883 2.229 -3.549 -0.238 -6.298 -3.896 -8.035 1.437 2.901" Properties=species:S:1:pos:R:3 pbc="T T T"
Ac -2.133 -0.071 -2.099
Ac -7.023 -2.560 -2.446
Ac -6.474 -0.523 1.282
Ac -1.798 -4.338 -2.277
Ni -0.560 -2.034 -3.723
Hg -4.459 1.833 -0.324
Hg -4.136 -2.431 -0.498
Rh 0.000 0.000 0.000
```

---

# 2
An optimized crystal structure of SiGeTe3. Source: the Alexandria database, functional PBE-GGA.

Properties
ΔE_f (raw) (eV/atom): 0.772
Total magnetization (μB/f.u.): 0.00
Calculated total energy (eV/atom): -3.121

Cell and atoms, written as extended XYZ:
```
5
Lattice="5.376 0.000 0.000 0.000 5.376 0.000 0.000 0.000 5.376" Properties=species:S:1:pos:R:3 pbc="T T T"
Ge 0.000 0.000 0.000
Te 0.000 2.688 0.000
Te 0.000 0.000 2.688
Te 2.688 0.000 0.000
Si 2.688 2.688 2.688
```

---

# 3
An optimized crystal structure of NbBiPtBr2. Source: the Alexandria database, functional PBE-GGA.

Properties
ΔE_f (raw) (eV/atom): 0.674
Total magnetization (μB/f.u.): 1.71
Calculated total energy (eV/atom): -3.993

Cell and atoms, written as extended XYZ:
```
5
Lattice="5.091 0.000 0.000 0.000 5.091 0.000 0.000 0.000 5.282" Properties=species:S:1:pos:R:3 pbc="T T T"
Nb 0.000 0.000 2.641
Br 0.000 2.546 0.000
Br 2.546 0.000 0.000
Bi 2.546 2.546 2.641
Pt 0.000 0.000 0.000
```

---

# 4
An optimized crystal structure of Be2MoAs. Source: the Alexandria database, functional PBE-GGA.

Properties
Total magnetization (μB/f.u.): 0.00
Calculated total energy (eV/atom): -5.409

Cell and atoms, written as extended XYZ:
```
4
Lattice="2.688 -0.005 0.000 -0.609 2.618 0.000 0.000 0.000 7.575" Properties=species:S:1:pos:R:3 pbc="T T T"
Be 0.000 0.000 0.091
Be 0.000 0.000 3.697
Mo 1.039 1.306 1.894
As 1.039 1.306 5.681
```

---

# 5
An optimized crystal structure of Li2MgAu. Source: the Alexandria database, functional PBE-GGA.

Properties
Total magnetization (μB/f.u.): 0.00
Calculated total energy (eV/atom): -2.378

Cell and atoms, written as extended XYZ:
```
4
Lattice="9.512 0.014 0.008 9.011 3.045 0.008 9.011 1.489 2.657" Properties=species:S:1:pos:R:3 pbc="T T T"
Au 20.591 3.401 2.000
Li 0.213 0.035 0.021
Li 6.888 1.138 0.669
Mg 13.608 2.248 1.321
```

---

# 6
An optimized crystal structure of P4WAu. Source: the Alexandria database, functional PBE-GGA.

Properties
Total magnetization (μB/f.u.): 0.00
Calculated total energy (eV/atom): -5.422

Cell and atoms, written as extended XYZ:
```
6
Lattice="4.397 0.501 2.374 0.550 3.507 3.552 0.420 -1.350 4.819" Properties=species:S:1:pos:R:3 pbc="T T T"
P 4.192 1.249 5.218
P 2.228 0.334 6.425
P 2.293 2.733 5.800
P 2.021 1.001 4.046
W 4.025 1.994 8.059
Au 0.000 0.000 0.000
```